Below is MoPt3F after structural relaxation, with properties calculated at the GGA+U level.

Calculated values
M_tot	3.30	Bohr magnetons per cell
symmetry	No. 221
DOS(E_F)	0.9854	states/eV/atom
offset from the most stable computed form	0.000	eV/atom

Lattice parameters (Å, degrees): 4.397 4.397 4.397 90.00 90.00 90.00
Site moments in Bohr magnetons follow the coordinates.
Fractional coordinates of all 5 atoms:
Pt (0.500, 0.000, 0.000)  -0.12
Pt (0.000, 0.000, 0.500)  -0.10
Pt (0.000, 0.500, 0.000)  -0.12
Mo (0.500, 0.500, 0.500)  3.25
F (0.000, 0.000, 0.000)  0.00